Record 1
Material: BeZnMo
Method: DFT, GGA-PBE
State: optimized geometry

Crystal system: cubic

abc: 4.062 4.062 4.062
angles: 60.00 60.00 60.00
Positions (direct):
Mo  0.000  0.000  0.000
Be  0.250  0.250  0.250
Zn  0.750  0.750  0.750

***

Record 2
Material: Cu2Ag3
Method: DFT, GGA-PBE
State: optimized geometry

E above lowest polymorph in kcal/mol of atoms: 1.10
Crystal system: tetragonal
Energy of formation from the pure elements in eV per atom: 0.08

abc: 9.815 9.815 9.815
angles: 163.28 163.28 23.73
Positions (direct):
Ag  0.807  0.807  0.000
Cu  0.403  0.403  0.000
Ag  0.193  0.193  0.000
Ag  0.000  0.000  0.000
Cu  0.597  0.597  0.000

***

Number 1: total DFT energy (no corrections) -4.268 eV/atom. Number 2: total DFT energy (no corrections) -3.101 eV/atom.